# Pr2DyY3Er6

Pr2DyY3Er6 after structural relaxation (GGA-PBE, the Alexandria database).

Lattice parameters (Å, degrees): 6.1743 10.6845 11.7787 90.00 100.03 90.00
Space group C2/m (No. 12)
Unique sites:
Pr (0.0000, 0.1667, 0.0000) x4
Dy (0.0000, 0.5000, 0.0000) x2
Y (0.0000, 0.0000, 0.5000) x2
Y (0.0000, 0.3336, 0.5000) x4
Er (0.2476, 0.5000, 0.7478) x4
Er (0.2490, 0.1663, 0.7480) x8

N(E_F) in states/eV per atom: 1.39
ΔH_f (0 K) in eV per atom: 0.023
VASP energy in eV per atom: -5.0546